(1)
PBE ZrTeW2, relaxed; E_tot = -0.6693 Ry per atom; volume = 78 Å³/f.u.; size of the total moment = 0.000 μB per atom; energy above the lowest structure with this stoichiometry = 73.1 meV/atom; E_form (uncorrected) = 293 meV/atom
1.0
4.346 0.000 0.000
0.000 3.167 0.000
0.000 0.701 5.688
Te W Zr
1 2 1
direct
0.500 0.945 0.726 Te
0.000 0.900 0.038 W
0.500 0.157 0.229 W
0.000 0.498 0.507 Zr

---

(2)
PBE ZrTe4W, relaxed; E_tot = -0.3221 Ry per atom; volume = 158 Å³/f.u.; size of the total moment = 0.377 μB per atom; E_form (uncorrected) = 1295 meV/atom
1.0
0.000 4.294 4.294
4.294 0.000 4.294
4.294 4.294 0.000
Zr Te W
1 4 1
direct
0.000 0.000 0.000 Zr
0.875 0.375 0.375 Te
0.375 0.375 0.875 Te
0.375 0.875 0.375 Te
0.375 0.375 0.375 Te
0.750 0.750 0.750 W

---

(3)
PBE ZrTeW2, relaxed; E_tot = -0.6559 Ry per atom; volume = 74 Å³/f.u.; size of the total moment = 0.000 μB per atom; energy above the lowest structure with this stoichiometry = 255.3 meV/atom; E_form (uncorrected) = 475 meV/atom
1.0
-1.335 0.204 -4.421
1.738 -4.238 -0.621
-3.056 -1.379 0.859
Te W Zr
1 2 1
direct
0.000 0.500 0.500 Te
0.000 0.000 0.000 W
0.500 0.500 0.000 W
0.500 0.000 0.500 Zr

---

(4)
PBE ZrTeW2, relaxed; E_tot = -0.6389 Ry per atom; volume = 82 Å³/f.u.; size of the total moment = 0.000 μB per atom; energy above the lowest structure with this stoichiometry = 485.9 meV/atom; E_form (uncorrected) = 706 meV/atom
1.0
3.998 0.000 0.000
0.000 3.998 0.000
1.999 1.999 10.309
Te Zr W
2 2 4
direct
0.000 0.000 0.000 Te
0.750 0.250 0.500 Te
0.500 0.500 0.000 Zr
0.250 0.750 0.500 Zr
0.661 0.125 0.250 W
0.089 0.625 0.250 W
0.375 0.339 0.750 W
0.875 0.911 0.750 W

---

(5)
PBE ZrTeW2, relaxed; E_tot = -0.6420 Ry per atom; volume = 78 Å³/f.u.; size of the total moment = 0.000 μB per atom; energy above the lowest structure with this stoichiometry = 444.9 meV/atom; E_form (uncorrected) = 665 meV/atom
1.0
-4.212 -2.244 7.519
-4.449 -5.002 5.873
-1.782 -4.357 7.560
Te W Zr
1 2 1
direct
0.750 0.750 0.750 Te
0.002 0.002 0.002 W
0.498 0.498 0.498 W
0.250 0.250 0.250 Zr

---

(6)
PBE ZrTeW2, relaxed; E_tot = -0.6555 Ry per atom; volume = 75 Å³/f.u.; size of the total moment = 0.000 μB per atom; energy above the lowest structure with this stoichiometry = 260.2 meV/atom; E_form (uncorrected) = 480 meV/atom
1.0
5.194 0.000 0.000
1.830 4.861 0.000
-3.512 -2.430 2.956
Te W Zr
1 2 1
direct
0.750 0.250 0.500 Te
0.000 0.000 0.000 W
0.250 0.750 0.500 W
0.500 0.500 0.000 Zr

---

(7)
PBE ZrTeW2, relaxed; E_tot = -0.6618 Ry per atom; volume = 76 Å³/f.u.; size of the total moment = 0.000 μB per atom; energy above the lowest structure with this stoichiometry = 174.4 meV/atom; E_form (uncorrected) = 394 meV/atom
1.0
4.906 0.000 0.000
0.000 3.940 0.000
0.000 0.000 3.940
Te W Zr
1 2 1
direct
0.500 0.000 0.500 Te
0.000 0.000 0.000 W
0.000 0.500 0.500 W
0.500 0.500 0.000 Zr

---

(8)
PBE ZrTeW2, relaxed; E_tot = -0.6747 Ry per atom; volume = 79 Å³/f.u.; size of the total moment = 0.000 μB per atom; energy above the lowest structure with this stoichiometry = 0.0 meV/atom; E_form (uncorrected) = 220 meV/atom
1.0
-0.723 -0.805 -3.068
-1.872 -2.433 1.079
-5.896 4.615 0.178
Te W Zr
1 2 1
direct
0.500 0.500 0.781 Te
0.000 0.000 0.030 W
0.500 0.500 0.222 W
0.000 0.000 0.467 Zr

---

(9)
PBE ZrTeW2, relaxed; E_tot = -0.6476 Ry per atom; volume = 74 Å³/f.u.; size of the total moment = 0.000 μB per atom; energy above the lowest structure with this stoichiometry = 367.9 meV/atom; E_form (uncorrected) = 588 meV/atom
1.0
0.209 2.667 3.883
1.742 4.376 -0.236
-2.873 3.710 0.469
Te Zr W
1 1 2
direct
0.500 0.500 0.500 Te
0.000 0.000 0.000 Zr
0.250 0.250 0.250 W
0.750 0.750 0.750 W

---

(10)
PBE ZrTeW, relaxed; E_tot = -0.5878 Ry per atom; volume = 62 Å³/f.u.; size of the total moment = 0.000 μB per atom; energy above the lowest structure with this stoichiometry = 521.4 meV/atom; E_form (uncorrected) = 216 meV/atom
1.0
5.931 -0.021 0.000
4.014 4.365 0.000
-4.972 -2.172 2.393
Te W Zr
1 1 1
direct
0.976 0.976 0.000 Te
0.343 0.343 0.000 W
0.681 0.681 0.000 Zr

---

(11)
PBE ZrTeW2, relaxed; E_tot = -0.6621 Ry per atom; volume = 78 Å³/f.u.; size of the total moment = 0.000 μB per atom; energy above the lowest structure with this stoichiometry = 170.9 meV/atom; E_form (uncorrected) = 391 meV/atom
1.0
-2.528 -2.105 3.683
0.620 -2.775 -1.161
4.260 -0.179 2.822
Te W Zr
1 2 1
direct
0.500 0.750 0.750 Te
0.000 0.891 0.012 W
0.000 0.609 0.488 W
0.500 0.250 0.250 Zr

---

(12)
PBE ZrTeW2, relaxed; E_tot = -0.6542 Ry per atom; volume = 77 Å³/f.u.; size of the total moment = 0.000 μB per atom; energy above the lowest structure with this stoichiometry = 278.5 meV/atom; E_form (uncorrected) = 498 meV/atom
1.0
5.854 0.007 0.021
-3.135 4.944 0.021
0.822 1.497 2.683
Te W Zr
1 2 1
direct
0.000 0.500 0.500 Te
0.000 0.000 0.000 W
0.500 0.500 0.000 W
0.500 0.000 0.500 Zr

---

(13)
PBE ZrTeW, relaxed; E_tot = -0.5810 Ry per atom; volume = 65 Å³/f.u.; size of the total moment = 0.000 μB per atom; energy above the lowest structure with this stoichiometry = 613.8 meV/atom; E_form (uncorrected) = 309 meV/atom
1.0
-0.398 -1.696 2.942
2.952 1.588 -0.672
-2.245 5.354 2.783
Te W Zr
1 1 1
direct
0.000 0.000 0.020 Te
0.333 0.667 0.336 W
0.667 0.333 0.644 Zr

---

(14)
PBE ZrTeW4, relaxed; E_tot = -0.7511 Ry per atom; volume = 113 Å³/f.u.; size of the total moment = 0.000 μB per atom; E_form (uncorrected) = 364 meV/atom
1.0
0.000 3.835 3.835
3.835 0.000 3.835
3.835 3.835 0.000
Zr Te W
1 1 4
direct
0.750 0.750 0.750 Zr
0.000 0.000 0.000 Te
0.874 0.375 0.375 W
0.375 0.375 0.874 W
0.375 0.874 0.375 W
0.375 0.375 0.375 W

---

(15)
PBE Zr2Te4W, relaxed; E_tot = -0.4257 Ry per atom; volume = 203 Å³/f.u.; size of the total moment = 0.000 μB per atom; E_form (uncorrected) = 296 meV/atom
1.0
-0.428 -2.350 4.810
-2.117 -4.357 -2.318
5.176 -6.083 0.486
Te Zr W
4 2 1
direct
0.806 0.806 0.387 Te
0.194 0.194 0.613 Te
0.000 0.500 0.000 Te
0.500 0.000 0.000 Te
0.607 0.607 0.787 Zr
0.393 0.393 0.213 Zr
0.000 0.000 0.000 W

---

(16)
PBE ZrTeW2, relaxed; E_tot = -0.6634 Ry per atom; volume = 76 Å³/f.u.; size of the total moment = 0.000 μB per atom; energy above the lowest structure with this stoichiometry = 153.6 meV/atom; E_form (uncorrected) = 374 meV/atom
1.0
-0.341 2.411 2.099
0.786 -2.670 3.195
5.483 1.129 -0.406
Te W Zr
1 2 1
direct
0.500 0.500 0.743 Te
0.000 0.000 0.030 W
0.500 0.500 0.226 W
0.000 0.000 0.501 Zr

---

(17)
PBE ZrTeW2, relaxed; E_tot = -0.6625 Ry per atom; volume = 79 Å³/f.u.; size of the total moment = 0.000 μB per atom; energy above the lowest structure with this stoichiometry = 165.6 meV/atom; E_form (uncorrected) = 386 meV/atom
1.0
-1.963 -1.200 -2.014
-0.928 -0.362 2.892
-4.455 8.003 -0.426
Te W Zr
1 2 1
direct
0.500 0.500 0.753 Te
0.000 0.000 0.025 W
0.500 0.500 0.235 W
0.000 0.000 0.486 Zr

---

(18)
PBE ZrTeW, relaxed; E_tot = -0.5759 Ry per atom; volume = 63 Å³/f.u.; size of the total moment = 0.000 μB per atom; energy above the lowest structure with this stoichiometry = 683.3 meV/atom; E_form (uncorrected) = 378 meV/atom
1.0
-3.919 -0.953 5.790
-5.663 -1.872 3.285
1.133 -2.563 1.519
Te W Zr
1 1 1
direct
0.996 0.996 0.004 Te
0.331 0.331 0.669 W
0.673 0.673 0.327 Zr

---

(19)
PBE YTe3, relaxed; E_tot = -0.3355 Ry per atom; volume = 125 Å³/f.u.; size of the total moment = 0.000 μB per atom; E_form (uncorrected) = -592 meV/atom
1.0
5.844 0.010 0.023
-2.348 5.352 0.023
-2.348 -3.601 3.959
Te Y
3 1
direct
0.000 0.000 0.000 Te
0.500 0.500 0.000 Te
0.000 0.500 0.500 Te
0.500 0.000 0.500 Y

---

(20)
PBE Y3Te5, relaxed; E_tot = -0.4140 Ry per atom; volume = 239 Å³/f.u.; size of the total moment = 0.000 μB per atom; energy above the lowest structure with this stoichiometry = 0.0 meV/atom; E_form (uncorrected) = -1246 meV/atom
1.0
9.467 0.000 0.000
-4.733 8.198 0.000
0.000 0.000 6.162
Y Te
6 10
direct
0.628 0.000 0.250 Y
0.372 0.000 0.750 Y
0.000 0.628 0.250 Y
0.372 0.372 0.250 Y
0.628 0.628 0.750 Y
0.000 0.372 0.750 Y
0.333 0.667 0.000 Te
0.667 0.333 0.500 Te
0.667 0.333 0.000 Te
0.333 0.667 0.500 Te
0.277 0.000 0.250 Te
0.723 0.000 0.750 Te
0.000 0.277 0.250 Te
0.723 0.723 0.250 Te
0.277 0.277 0.750 Te
0.000 0.723 0.750 Te

---

(21)
PBE Y3Te, relaxed; E_tot = -0.4552 Ry per atom; volume = 128 Å³/f.u.; size of the total moment = 0.155 μB per atom; energy above the lowest structure with this stoichiometry = 126.7 meV/atom; E_form (uncorrected) = -559 meV/atom
1.0
-1.230 -3.017 -2.065
-0.927 0.289 3.733
-8.244 5.029 -2.435
Te Y
1 3
direct
0.000 0.000 0.000 Te
0.000 0.000 0.500 Y
0.667 0.333 0.216 Y
0.667 0.333 0.784 Y

---

(22)
PBE Y2Te3, relaxed; E_tot = -0.4341 Ry per atom; volume = 177 Å³/f.u.; size of the total moment = 0.000 μB per atom; E_form (uncorrected) = -1436 meV/atom
1.0
14.471 -0.032 0.025
11.852 7.071 0.029
2.619 -1.703 6.896
Y Te
8 12
direct
0.333 0.333 0.167 Y
0.167 0.167 0.333 Y
0.917 0.917 0.083 Y
0.083 0.083 0.917 Y
0.000 0.000 0.500 Y
0.500 0.500 0.000 Y
0.250 0.250 0.750 Y
0.750 0.750 0.250 Y
0.999 0.501 0.501 Te
0.501 0.999 0.999 Te
0.251 0.749 0.749 Te
0.749 0.251 0.251 Te
0.666 0.169 0.835 Te
0.835 0.331 0.666 Te
0.331 0.835 0.169 Te
0.169 0.666 0.331 Te
0.584 0.081 0.415 Te
0.415 0.919 0.584 Te
0.919 0.415 0.081 Te
0.081 0.584 0.919 Te

---

(23)
PBE Y4Te5, relaxed; E_tot = -0.4284 Ry per atom; volume = 273 Å³/f.u.; size of the total moment = 0.177 μB per atom; energy above the lowest structure with this stoichiometry = 0.0 meV/atom; E_form (uncorrected) = -1211 meV/atom
1.0
-6.259 -0.982 6.145
6.546 -5.888 -0.612
4.412 4.365 5.191
Y Te
8 10
direct
0.000 0.000 0.000 Y
0.000 0.000 0.500 Y
0.000 0.402 0.250 Y
0.598 0.598 0.250 Y
0.402 0.000 0.250 Y
0.000 0.598 0.750 Y
0.402 0.402 0.750 Y
0.598 0.000 0.750 Y
0.000 0.744 0.250 Te
0.256 0.256 0.250 Te
0.744 0.000 0.250 Te
0.000 0.256 0.750 Te
0.744 0.744 0.750 Te
0.256 0.000 0.750 Te
0.667 0.333 0.000 Te
0.333 0.667 0.500 Te
0.333 0.667 0.000 Te
0.667 0.333 0.500 Te

---

(24)
PBE YTe5, relaxed; E_tot = -0.3088 Ry per atom; volume = 203 Å³/f.u.; size of the total moment = 0.000 μB per atom; E_form (uncorrected) = -506 meV/atom
1.0
2.052 5.676 -0.040
-2.052 5.676 -0.040
0.000 0.079 8.722
Y Te
1 5
direct
0.281 0.281 0.014 Y
0.995 0.995 0.041 Te
0.298 0.298 0.641 Te
0.700 0.700 0.264 Te
0.642 0.642 0.796 Te
0.917 0.917 0.411 Te

---

(25)
PBE YTe7, relaxed; E_tot = -0.2631 Ry per atom; volume = 228 Å³/f.u.; size of the total moment = 0.000 μB per atom; E_form (uncorrected) = -23 meV/atom
1.0
-6.658 -0.528 1.546
-4.255 5.202 -1.348
-4.645 -0.581 -5.007
Y Te
1 7
direct
0.000 0.000 0.000 Y
0.500 0.500 0.000 Te
0.500 0.000 0.500 Te
0.500 0.000 0.000 Te
0.000 0.000 0.500 Te
0.000 0.500 0.000 Te
0.000 0.500 0.500 Te
0.500 0.500 0.500 Te

---

(26)
PBE Y2Te, relaxed; E_tot = -0.4587 Ry per atom; volume = 87 Å³/f.u.; size of the total moment = 0.000 μB per atom; E_form (uncorrected) = -884 meV/atom
1.0
-0.483 -3.805 -0.974
2.748 -2.258 7.460
-9.941 0.301 3.753
Y Te
8 4
direct
0.750 0.504 0.664 Y
0.250 0.996 0.164 Y
0.750 0.004 0.836 Y
0.250 0.496 0.336 Y
0.750 0.341 0.056 Y
0.250 0.159 0.556 Y
0.750 0.841 0.444 Y
0.250 0.659 0.944 Y
0.750 0.698 0.169 Te
0.250 0.802 0.669 Te
0.750 0.198 0.331 Te
0.250 0.302 0.831 Te

---

(27)
PBE Y3Te, relaxed; E_tot = -0.4470 Ry per atom; volume = 123 Å³/f.u.; size of the total moment = 0.000 μB per atom; energy above the lowest structure with this stoichiometry = 237.2 meV/atom; E_form (uncorrected) = -449 meV/atom
1.0
-3.509 -2.293 -2.671
2.424 -3.000 -0.610
-0.637 -4.698 4.869
Te Y
1 3
direct
0.000 0.000 0.000 Te
0.500 0.852 0.767 Y
0.000 0.500 0.500 Y
0.500 0.148 0.233 Y